Entry 1:
Below is SmHoTl after structural relaxation, with properties calculated at the PBE level.

Unit cell a=7.3556 b=7.3556 c=7.3556 alpha=90.00 beta=90.00 gamma=90.00
Space group F-43m (No. 216)
Unique sites:
Sm (0.0000, 0.0000, 0.0000) x4
Ho (0.0000, 0.0000, 0.5000) x4
Tl (0.2500, 0.2500, 0.7500) x4

Polymorph energy (0 for the lowest one)   0.000 eV per atom



Entry 2:
Below is SmHoTl2Zn2 after structural relaxation, with properties calculated at the PBE level.

Unit cell a=4.7003 b=4.7003 c=7.4236 alpha=90.00 beta=90.00 gamma=120.00
Space group P3m1 (No. 156)
Unique sites:
Sm (0.0000, 0.0000, 0.0000) x1
Ho (0.0000, 0.0000, 0.5003) x1
Tl (0.3333, 0.6667, 0.7743) x1
Tl (0.6667, 0.3333, 0.2839) x1
Zn (0.3333, 0.6667, 0.2018) x1
Zn (0.6667, 0.3333, 0.6935) x1

E   -3.11 eV per atom



Calculated magnetization in order - 0.2 0.0 μB per formula unit